Compound: NaMo2RuO
Source: Alexandria via LeMat-Bulk
Functional: PBE+U
Structure: optimized geometry

Cell lengths 4.9314, 4.9314, 5.3403 Å; angles 90.00, 90.00, 90.00 degrees
With the nearest neighbours (Å) after each atom.
Space group P4/mmm (No. 123)
Inequivalent atoms, fractional coordinates:
Na (0.0000, 0.0000, 0.0000) [1 per cell]  2 Ru 2.67
Mo (0.0000, 0.5000, 0.5000) [2 per cell]  2 Ru 2.47
Ru (0.0000, 0.0000, 0.5000) [1 per cell]  4 Mo 2.47, 2 Na 2.67
O (0.5000, 0.5000, 0.0000) [1 per cell]  4 Na 3.49, 8 Mo 3.63

* DFT total energy: -21.46 eV per formula unit
* volume: 129.9 Å³ per cell
* M_tot: 6.7 μB per formula unit
* DOS(E_F): 3.91 states/eV/f.u.